## Sr2Ni3Sb4Au (GGA-PBE)

Data for a relaxed Sr2Ni3Sb4Au crystal.

uncorrected formation energy: -510 kJ/mol of formula units
N(E_F): 7.0 states/eV/f.u.
calculated volume: 222.7 Å³/cell
total moment: 0.0 μB/cell

POSCAR file:
```
Sr2Ni3Sb4Au
1.0
4.614 0.000 0.000
0.000 4.614 0.000
0.000 0.000 10.461
Sr Ni Sb Au
2 3 4 1
Cartesian
0.000 2.307 2.582
2.307 0.000 7.880
0.000 0.000 0.000
0.000 2.307 6.441
2.307 0.000 4.021
0.000 0.000 5.231
0.000 2.307 8.978
2.307 0.000 1.483
2.307 2.307 5.231
2.307 2.307 0.000
```